Version A
The following is a PBE calculation of a relaxed structure of MgTe5, from Alexandria via LeMat-Bulk.

a b c (Å): 3.8052 3.8052 11.5715
angles (deg): 90.00 90.00 90.00
Atoms (fractional coordinates):
Mg 0.5000 0.5000 0.0000
Te 0.5000 0.5000 0.6634
Te 0.0000 0.0000 0.8658
Te 0.0000 0.0000 0.5000
Te 0.0000 0.0000 0.1342
Te 0.5000 0.5000 0.3366

Computed properties:
Symmetry = No. 123
Magnetization = 0.0 μB/f.u.

Version B
The following is a PBE calculation of a relaxed structure of MgTe5, from Alexandria via LeMat-Bulk.

a b c (Å): 7.1342 7.1342 4.1558
angles (deg): 90.00 90.00 120.00
Atoms (fractional coordinates):
Te 0.0000 0.6892 0.0000
Te 0.6667 0.3333 0.5000
Te 0.3333 0.6667 0.5000
Te 0.6892 0.0000 0.0000
Te 0.3108 0.3108 0.0000
Mg 0.0000 0.0000 0.5000

Computed properties:
Symmetry = No. 189
Magnetization = 0.0 μB/f.u.

Version C
The following is a PBE calculation of a relaxed structure of MgTe5, from Alexandria via LeMat-Bulk.

a b c (Å): 6.3287 6.3287 5.6005
angles (deg): 90.00 90.00 120.00
Atoms (fractional coordinates):
Mg 0.0000 0.0000 0.0000
Te 0.5000 0.0000 0.5000
Te 0.3333 0.6667 0.0000
Te 0.6667 0.3333 0.0000
Te 0.0000 0.5000 0.5000
Te 0.5000 0.5000 0.5000

Computed properties:
Symmetry = No. 191
Magnetization = 0.0 μB/f.u.

Version D
The following is a PBE calculation of a relaxed structure of MgTe5, from Alexandria via LeMat-Bulk.

a b c (Å): 6.2646 6.2646 6.0734
angles (deg): 90.00 90.00 131.98
Atoms (fractional coordinates):
Te 0.3291 0.6709 0.5000
Te 0.0000 0.0000 0.5000
Te 0.1289 0.8711 0.0000
Te 0.8711 0.1289 0.0000
Te 0.6709 0.3291 0.5000
Mg 0.5000 0.5000 0.0000

Computed properties:
Symmetry = No. 65
Magnetization = 0.0 μB/f.u.

We find version B to be the most stable, with the next structure 22 meV/atom higher.

Version A
The following is a PBE calculation of a relaxed structure of MgTe5, from Alexandria via LeMat-Bulk.

a b c (Å): 6.3593 6.3593 6.3593
angles (deg): 60.00 60.00 60.00
Atoms (fractional coordinates):
Te 0.6249 0.6249 0.6249
Te 0.1252 0.6249 0.6249
Te 0.2500 0.2500 0.2500
Te 0.6249 0.6249 0.1252
Te 0.6249 0.1252 0.6249
Mg 0.0000 0.0000 0.0000

Computed properties:
Symmetry = No. 216
Magnetization = 0.0 μB/f.u.

Version B
The following is a PBE calculation of a relaxed structure of MgTe5, from Alexandria via LeMat-Bulk.

a b c (Å): 7.8409 7.8409 7.6643
angles (deg): 83.61 83.61 29.55
Atoms (fractional coordinates):
Te 0.0172 0.0172 0.3815
Te 0.5440 0.5440 0.8721
Te 0.6484 0.6484 0.1998
Te 0.4039 0.4039 0.6451
Te 0.2886 0.2886 0.0081
Mg 0.9312 0.9312 0.0600

Computed properties:
Symmetry = No. 8
Magnetization = 0.0 μB/f.u.

We find version B to be the most stable, with the next structure 512 meV/atom higher.